Computed, not measured: a relaxed Al6Ag crystal at the GGA-PBE level of DFT.

abc: 2.816 10.415 4.131
angles: 79.17 89.77 99.00
Sites, in units of the cell vectors:
Al 0.285 0.574 0.714
Al 0.570 0.144 0.426
Al 0.142 0.286 0.856
Al 0.715 0.426 0.286
Al 0.430 0.856 0.574
Al 0.858 0.714 0.144
Ag 0.000 0.000 0.000

Properties
For the volume, the calculation gives 117 Å³/f.u. As for the relative energy among the computed polymorphs: 0.118 eV/f.u. The total energy is -3.61 eV per atom. Its space group is P-1 (2). For the calculated formation energy, the calculation gives 0.01 eV per atom. As for the total magnetization: 0.000 μB per atom.